# 1
# Na4Nd2Cl9 PBE optimized geometry
data_Na4Nd2Cl9
_chemical_formula_sum 'Na8 Nd4 Cl18'
_symmetry_space_group_name_H-M 'P 1'
_symmetry_Int_Tables_number 1
_cell_length_a 7.2135
_cell_length_b 7.2165
_cell_length_c 18.9301
_cell_angle_alpha 89.95
_cell_angle_beta 89.93
_cell_angle_gamma 60.05
loop_
_symmetry_equiv_pos_as_xyz
'x,y,z'
loop_
_atom_site_label
_atom_site_fract_x
_atom_site_fract_y
_atom_site_fract_z
Na1 0.1658 0.1660 0.4836
Na2 0.1656 0.1668 0.6773
Na3 0.1671 0.1663 0.9825
Na4 0.1681 0.1659 0.1786
Na5 0.8319 0.8341 0.8214
Na6 0.8329 0.8337 0.0175
Na7 0.8344 0.8332 0.3227
Na8 0.8342 0.8340 0.5164
Nd1 0.4989 0.5018 0.6559
Nd2 0.5000 0.4987 0.8443
Nd3 0.5000 0.5013 0.1557
Nd4 0.5011 0.4982 0.3441
Cl1 0.1472 0.5292 0.9141
Cl2 0.1496 0.8231 0.4135
Cl3 0.1753 0.4740 0.5862
Cl4 0.1763 0.8531 0.0863
Cl5 0.1878 0.5005 0.2499
Cl6 0.1882 0.8128 0.7504
Cl7 0.4709 0.1787 0.0859
Cl8 0.4719 0.8524 0.5855
Cl9 0.4978 0.1888 0.7497
Cl10 0.5022 0.8112 0.2503
Cl11 0.5281 0.1476 0.4145
Cl12 0.5291 0.8213 0.9141
Cl13 0.8118 0.1872 0.2496
Cl14 0.8122 0.4995 0.7501
Cl15 0.8237 0.1469 0.9137
Cl16 0.8247 0.5260 0.4138
Cl17 0.8504 0.1769 0.5865
Cl18 0.8528 0.4708 0.0859
# Calculated volume = 28.46 Å³ per atom
# Uncorrected formation energy = -1988 meV per atom
# E = -122.5 eV/cell
# Space-group type = No. 2



# 2
# LaPr6Zn2 PBE optimized geometry
data_LaPr6Zn2
_chemical_formula_sum 'La1 Pr6 Zn2'
_symmetry_space_group_name_H-M 'P 1'
_symmetry_Int_Tables_number 1
_cell_length_a 6.7505
_cell_length_b 6.7505
_cell_length_c 12.3005
_cell_angle_alpha 108.43
_cell_angle_beta 108.43
_cell_angle_gamma 32.71
loop_
_symmetry_equiv_pos_as_xyz
'x,y,z'
loop_
_atom_site_label
_atom_site_fract_x
_atom_site_fract_y
_atom_site_fract_z
La1 0.0000 0.0000 0.0000
Pr1 0.0277 0.0277 0.3277
Pr2 0.3113 0.3113 0.1257
Pr3 0.3137 0.3137 0.4105
Pr4 0.6863 0.6863 0.5895
Pr5 0.6887 0.6887 0.8743
Pr6 0.9723 0.9723 0.6723
Zn1 0.3485 0.3485 0.7948
Zn2 0.6515 0.6515 0.2052
# Calculated volume = 31.77 Å³ per atom
# Fermi-level density of states = 1.116 states/eV per atom
# E = -37.4 eV/cell
# Space-group type = No. 12



# 3
# Al2ReNi PBE optimized geometry
data_Al2ReNi
_chemical_formula_sum 'Al2 Re1 Ni1'
_symmetry_space_group_name_H-M 'P 1'
_symmetry_Int_Tables_number 1
_cell_length_a 4.9114
_cell_length_b 4.9114
_cell_length_c 4.9114
_cell_angle_alpha 137.18
_cell_angle_beta 137.18
_cell_angle_gamma 62.16
loop_
_symmetry_equiv_pos_as_xyz
'x,y,z'
loop_
_atom_site_label
_atom_site_fract_x
_atom_site_fract_y
_atom_site_fract_z
Al1 0.0000 0.0000 0.0000
Al2 0.7500 0.2500 0.5000
Re1 0.5000 0.5000 0.0000
Ni1 0.2500 0.7500 0.5000
# Energy relative to the lowest polymorph listed for this composition = 0.1416 eV per atom
# Calculated volume = 13.52 Å³ per atom
# Fermi-level density of states = 0.600 states/eV per atom
# E = -26.6 eV/cell
# Space-group type = No. 119



# 4
# Tl3FeN PBE optimized geometry
data_Tl3FeN
_chemical_formula_sum 'Tl3 Fe1 N1'
_symmetry_space_group_name_H-M 'P 1'
_symmetry_Int_Tables_number 1
_cell_length_a 4.9094
_cell_length_b 4.9094
_cell_length_c 4.9094
_cell_angle_alpha 90.00
_cell_angle_beta 90.00
_cell_angle_gamma 90.00
loop_
_symmetry_equiv_pos_as_xyz
'x,y,z'
loop_
_atom_site_label
_atom_site_fract_x
_atom_site_fract_y
_atom_site_fract_z
Tl1 0.0000 0.0000 0.5000
Tl2 0.0000 0.5000 0.0000
Tl3 0.5000 0.0000 0.0000
Fe1 0.5000 0.5000 0.5000
N1 0.0000 0.0000 0.0000
# Energy relative to the lowest polymorph listed for this composition = 0.0000 eV per atom
# Calculated volume = 23.67 Å³ per atom
# Uncorrected formation energy = 1158 meV per atom
# Fermi-level density of states = 1.974 states/eV per atom
# E = -18.1 eV/cell
# Space-group type = No. 221



# 5
# Hg2PtW PBE optimized geometry
data_Hg2PtW
_chemical_formula_sum 'Hg2 Pt1 W1'
_symmetry_space_group_name_H-M 'P 1'
_symmetry_Int_Tables_number 1
_cell_length_a 4.7504
_cell_length_b 4.7504
_cell_length_c 5.8460
_cell_angle_alpha 96.79
_cell_angle_beta 96.79
_cell_angle_gamma 35.37
loop_
_symmetry_equiv_pos_as_xyz
'x,y,z'
loop_
_atom_site_label
_atom_site_fract_x
_atom_site_fract_y
_atom_site_fract_z
Hg1 0.0000 0.0000 0.0000
Hg2 0.2441 0.2441 0.7333
Pt1 0.7544 0.7544 0.2837
W1 0.4978 0.4978 0.4543
# Energy relative to the lowest polymorph listed for this composition = 0.2592 eV per atom
# Calculated volume = 18.94 Å³ per atom
# Fermi-level density of states = 0.500 states/eV per atom
# E = -17.7 eV/cell
# Space-group type = No. 8



# 6
# K2TbErTe4 PBE optimized geometry
data_K2TbErTe4
_chemical_formula_sum 'K2 Tb1 Er1 Te4'
_symmetry_space_group_name_H-M 'P 1'
_symmetry_Int_Tables_number 1
_cell_length_a 7.7739
_cell_length_b 4.4891
_cell_length_c 8.6378
_cell_angle_alpha 90.00
_cell_angle_beta 107.45
_cell_angle_gamma 90.00
loop_
_symmetry_equiv_pos_as_xyz
'x,y,z'
loop_
_atom_site_label
_atom_site_fract_x
_atom_site_fract_y
_atom_site_fract_z
K1 0.0000 0.0000 0.0000
K2 0.5000 0.5000 0.0000
Tb1 0.0000 0.5000 0.5000
Er1 0.5000 0.0000 0.5000
Te1 0.2387 0.0000 0.7087
Te2 0.2668 0.5000 0.2925
Te3 0.7332 0.5000 0.7075
Te4 0.7613 0.0000 0.2913
# Calculated volume = 35.95 Å³ per atom
# Uncorrected formation energy = -1392 meV per atom
# E = -35.1 eV/cell
# Space-group type = No. 10